#one
Entry from Alexandria via LeMat-Bulk: a relaxed structure of MnSe2O5 (PBEsol).

```
MnSe2O5
1.0
-5.4098 2.1411 -1.9539
-2.2366 -6.4524 -0.8780
-3.6235 -0.0949 9.9283
O Se Mn
20 8 4
Cartesian
-5.5090 -3.3226 2.8431
-2.0991 -0.9361 1.6006
-5.4189 -1.6268 -1.2381
-5.3236 -0.5595 1.3018
-4.3726 -4.4859 0.7369
-4.1488 -1.6702 6.4713
-5.8510 -2.7795 8.3344
-6.8973 0.0796 6.3594
-5.7609 -1.0837 4.2532
-2.9210 0.4942 3.8093
-3.9860 -1.0210 9.0467
-9.1708 -3.4702 5.4957
-7.2839 -3.3852 -1.9504
-3.5443 0.1319 -0.5519
-7.1211 -2.7361 0.6250
-2.5792 -2.1417 3.9237
-6.1123 1.5520 4.1651
-5.9463 -3.8467 5.7945
-7.7256 -4.5382 7.6483
-8.6907 -2.2645 3.1727
-1.7179 -0.8139 3.2472
-4.0589 -2.3882 8.0035
-5.5460 0.2272 5.3478
-7.2110 -2.0181 -0.9072
-9.5520 -3.5923 3.8492
-7.0064 -3.1542 6.9205
-5.7239 -4.6335 1.7486
-4.2635 -1.2521 0.1759
-1.5701 0.5296 0.1078
-4.5001 -2.7441 4.6329
-7.4632 1.5166 7.8666
-6.7698 -1.6622 2.4634
```

Computed properties:
size of the total moment	5.00	μB/f.u.
symmetry	Pbcn, No. 60

***

#two
Entry from Alexandria via LeMat-Bulk: a relaxed structure of MnSe2O5 (PBEsol).

```
MnSe2O5
1.0
-3.6541 -3.0835 -2.9879
5.5985 -3.7420 0.3435
-2.5907 0.2692 6.2193
Se O Mn
4 10 2
Cartesian
-1.0602 -4.4973 -1.1955
0.8668 -4.7174 1.6406
-1.5131 -1.8388 1.9344
0.4139 -2.0589 4.7704
0.4327 -4.6584 -1.9743
-1.4551 -2.8385 -1.3798
0.0363 -5.7760 2.7041
-1.0790 -1.8978 5.5492
-0.0377 -2.1996 2.9851
1.8023 -5.7458 0.6770
0.8088 -3.7177 4.9547
-0.6826 -0.7802 0.8708
-2.4486 -0.8104 2.8979
-0.6086 -4.3566 0.5898
2.1700 -5.7176 -1.4038
-2.8163 -0.8386 4.9787
```

Computed properties:
size of the total moment	5.00	μB/f.u.
symmetry	C2/c, No. 15

***

Of them, the most stable is #one and the least stable is #two.

***

#one
Entry from Alexandria via LeMat-Bulk: a relaxed structure of Mn5SnO8 (PBEsol).

```
Mn5SnO8
1.0
5.8324 -0.0091 -0.0041
2.8502 5.5604 0.1723
2.8474 -0.8733 9.9154
Mn Sn O
10 2 16
Cartesian
5.7421 2.5324 6.9779
2.8936 0.1823 1.9315
4.3832 2.9231 1.9326
5.8216 0.3600 3.7377
7.1973 2.9173 1.9297
4.3814 -0.2861 6.8038
5.7420 0.9766 9.3258
5.7431 4.1950 4.4558
7.1957 -0.2918 6.8011
8.6706 2.7095 8.7818
8.6348 2.3343 5.0382
8.6365 5.5440 0.1683
2.8712 2.1653 2.9269
5.7993 0.5114 5.7348
5.8009 3.7239 0.8649
4.1359 1.1123 0.7352
6.9839 3.4615 5.7825
2.8718 3.5393 0.8456
4.4894 3.4098 5.7475
2.8698 0.3310 5.7157
8.6488 4.6055 8.1324
7.0784 4.9111 3.2430
5.7193 4.5201 7.9720
7.0768 1.7003 8.1152
5.8002 2.2552 3.0879
4.4149 4.8925 3.2297
1.6404 1.0612 0.7007
4.4138 1.6814 8.1023
```

Computed properties:
size of the total moment	10.96	μB/f.u.
symmetry	P1, No. 1

***

#two
Entry from Alexandria via LeMat-Bulk: a relaxed structure of Mn5SnO8 (PBEsol).

```
Mn5SnO8
1.0
5.8909 0.0000 0.0000
-2.9455 5.5820 -0.1438
0.0000 3.2354 4.9230
Mn O Sn
5 8 1
Cartesian
2.9455 7.0353 4.1550
2.9455 1.6177 2.4615
2.9455 5.4479 1.7395
1.5003 4.1934 4.2933
4.3907 4.1934 4.2933
1.6883 4.6863 0.4448
0.0000 3.4406 3.2837
-1.6883 4.6863 0.4448
2.9455 3.5276 3.1587
-1.6316 6.1858 2.9839
1.6316 6.1858 2.9839
0.0000 1.5861 0.4619
2.9455 1.7354 0.4317
0.0000 3.5998 1.1588
```

Computed properties:
size of the total moment	20.82	μB/f.u.
symmetry	I-4m2, No. 119

***

Of them, the most stable is #one and the least stable is #two.

***

#one
Entry from Alexandria via LeMat-Bulk: a relaxed structure of Sr2Mn2O5 (PBEsol).

```
Sr2Mn2O5
1.0
3.7060 0.0000 0.0000
0.0000 5.4423 0.0000
0.0000 0.0000 5.4423
O Mn Sr
5 2 2
Cartesian
1.8530 4.0530 1.3893
1.8530 4.0530 4.0530
1.8530 1.3893 4.0530
0.0000 0.0000 0.0000
1.8530 1.3893 1.3893
1.8530 0.0000 0.0000
1.8530 2.7212 2.7212
0.0000 2.7212 0.0000
0.0000 0.0000 2.7212
```

Computed properties:
size of the total moment	6.99	μB/f.u.
symmetry	P4/mmm, No. 123

***

#two
Entry from Alexandria via LeMat-Bulk: a relaxed structure of Sr2Mn2O5 (PBEsol).

```
Sr2Mn2O5
1.0
5.4026 0.0006 -0.0001
0.0006 5.3925 -0.0002
-2.7017 -2.6968 7.7137
O Sr Mn
10 4 4
Cartesian
2.8404 -0.0560 2.0231
1.9811 1.9514 3.8566
0.7116 -0.7464 3.8568
1.3626 1.3363 7.6489
1.3416 4.0321 0.0678
-0.1383 2.6293 2.0278
-0.1384 2.6290 5.6851
2.8404 -0.0560 5.6907
1.3408 -1.3603 7.6458
1.3626 1.3362 0.0644
-0.0350 -0.0064 6.0226
-0.0349 -0.0063 1.6910
2.7371 2.6836 6.0213
2.7372 2.6838 1.6921
2.4295 0.1045 3.8568
0.0002 2.6744 7.7126
0.2729 2.8066 3.8565
0.0003 2.6747 0.0008
```

Computed properties:
size of the total moment	4.32	μB/f.u.
symmetry	Cm, No. 8

***

Of them, the most stable is #one and the least stable is #two.

***

#one
Entry from Alexandria via LeMat-Bulk: a relaxed structure of MnTcO2 (PBEsol).

```
MnTcO2
1.0
2.7199 0.0000 0.0000
1.3600 2.3555 0.0000
1.3600 0.7852 6.2508
O Tc Mn
2 1 1
Cartesian
1.3600 0.7852 4.2422
4.0799 2.3555 2.0086
0.0000 0.0000 0.0000
2.7199 1.5704 3.1254
```

Computed properties:
size of the total moment	2.52	μB/f.u.
symmetry	R-3m, No. 166

***

#two
Entry from Alexandria via LeMat-Bulk: a relaxed structure of MnTcO2 (PBEsol).

```
MnTcO2
1.0
-2.1947 0.5321 -3.0220
-0.2531 -2.6802 -2.6429
-3.1916 -1.9744 -0.3846
O Tc Mn
2 1 1
Cartesian
-1.4099 -1.0306 -1.5124
-4.2296 -3.0919 -4.5372
-2.8197 -2.0613 -3.0248
0.0000 0.0000 0.0000
```

Computed properties:
size of the total moment	3.39	μB/f.u.
symmetry	Fm-3m, No. 225

***

Of them, the most stable is #one and the least stable is #two.

***

#one
Entry from Alexandria via LeMat-Bulk: a relaxed structure of Mn3TeO6 (PBEsol).

```
Mn3TeO6
1.0
-3.4189 -3.9151 1.2033
1.2526 -3.5741 3.7580
-2.6361 0.1425 4.8015
O Mn Te
6 3 1
Cartesian
-1.2593 -5.2108 5.3862
-3.5010 -4.6733 3.5725
-1.0533 -2.7695 6.5582
-4.0878 -4.5697 6.2222
-1.1421 -2.9302 3.5455
-3.4840 -1.7213 4.2014
-1.7525 -1.0758 3.3483
-1.5753 -4.8122 3.5231
-3.1685 -2.6156 6.1432
-2.9903 -6.3532 6.3164
```

Computed properties:
size of the total moment	13.01	μB/f.u.
symmetry	R3, No. 146

***

#two
Entry from Alexandria via LeMat-Bulk: a relaxed structure of Mn3TeO6 (PBEsol).

```
Mn3TeO6
1.0
-3.4860 -1.7958 -3.2646
-3.1023 -1.2815 4.0176
-3.8724 7.5254 -0.5897
O Te Mn
12 2 6
Cartesian
-5.1795 1.1676 -1.5400
-6.3365 5.7609 1.7306
-5.4350 -1.5235 0.8152
-5.2812 3.2805 1.7033
-4.1242 -1.3128 -1.5674
-6.0767 3.8353 -2.6346
-4.0168 3.4720 -0.6192
-4.3839 0.6128 2.7979
-7.2708 3.8050 -0.1554
-3.1899 0.6431 0.3187
-6.4439 0.9761 0.7825
-5.0257 5.9716 -0.6520
-1.9362 3.7627 -0.2948
-3.2941 -1.5387 0.3765
-3.0277 1.0309 -1.6338
0.0000 0.0000 0.0000
-5.2303 2.2240 0.0816
-7.4330 3.4172 1.7971
-4.4308 5.1917 1.2705
-6.0299 -0.7436 -1.1072
```

Computed properties:
size of the total moment	13.00	μB/f.u.
symmetry	P2_1/c, No. 14

***

Of them, the most stable is #one and the least stable is #two.

***

#one
Entry from Alexandria via LeMat-Bulk: a relaxed structure of TiMn3O8 (PBEsol).

```
TiMn3O8
1.0
8.0867 0.0000 0.0000
0.0000 8.0867 0.0000
0.0000 0.0000 8.0867
O Mn Ti
32 12 4
Cartesian
2.8686 1.1372 5.1185
2.9682 6.9119 2.9062
7.2022 3.1964 7.1402
3.1964 7.1402 7.2022
6.9495 1.0752 1.1748
1.1372 5.1185 2.8686
7.1402 7.2022 3.1964
1.1748 6.9495 1.0752
6.9119 2.9062 2.9682
5.2181 5.1805 7.0115
2.9062 2.9682 6.9119
7.1707 0.9160 4.9593
4.8903 3.0969 4.9278
5.1491 1.1057 2.9376
0.8845 7.2398 4.9898
7.0115 5.2181 5.1805
4.9278 4.8903 3.0969
0.9160 4.9593 7.1707
4.9898 0.8845 7.2398
2.9376 5.1491 1.1057
1.0752 1.1748 6.9495
5.1185 2.8686 1.1372
5.1805 7.0115 5.2181
0.9465 3.1589 0.8469
7.2398 4.9898 0.8845
3.0969 4.9278 4.8903
3.1589 0.8469 0.9465
4.9593 7.1707 0.9160
0.8469 0.9465 3.1589
1.1057 2.9376 5.1491
6.9810 6.9810 6.9810
3.1274 3.1274 3.1274
2.9990 3.0325 5.0206
1.0108 3.0661 7.0423
3.0325 5.0206 2.9990
7.1094 5.0877 7.0759
1.0444 5.0542 0.9773
5.0877 7.0759 7.1094
7.0423 1.0108 3.0661
0.9773 1.0444 5.0542
5.0206 2.9990 3.0325
5.0542 0.9773 1.0444
7.0759 7.1094 5.0877
3.0661 7.0423 1.0108
5.0542 5.0542 5.0542
1.0108 7.0759 3.0325
3.0325 1.0108 7.0759
7.0759 3.0325 1.0108
```

Computed properties:
size of the total moment	9.00	μB/f.u.
symmetry	P4_332, No. 212

***

#two
Entry from Alexandria via LeMat-Bulk: a relaxed structure of TiMn3O8 (PBEsol).

```
TiMn3O8
1.0
5.6674 0.0000 0.0000
2.8337 4.9081 0.0000
2.8337 1.6360 4.7601
Ti O Mn
1 8 3
Cartesian
0.0000 0.0000 0.0000
5.6674 1.4772 1.2972
7.2218 2.3746 3.4628
4.1130 2.3746 3.4628
8.5011 4.9081 3.3421
4.1130 4.1695 1.2972
7.2218 4.1695 1.2972
2.8337 1.6360 1.4180
5.6674 5.0670 3.4628
1.4168 0.8180 2.3800
2.8337 3.2721 2.3800
4.2505 0.8180 2.3800
```

Computed properties:
size of the total moment	9.00	μB/f.u.
symmetry	R-3m, No. 166

***

Of them, the most stable is #one and the least stable is #two.

***

#one
Entry from Alexandria via LeMat-Bulk: a relaxed structure of MnZn2WO6 (PBEsol).

```
MnZn2WO6
1.0
5.2010 0.0000 0.0000
0.0000 5.1890 -0.0153
0.0000 0.1894 7.8038
Zn W O Mn
4 2 12 2
Cartesian
5.0575 2.5775 1.8730
2.4569 0.1117 2.0212
0.1436 2.8009 5.9154
2.7441 5.2667 5.7672
0.0000 0.0000 0.0000
2.6005 2.6892 3.8942
3.5700 4.4122 0.6436
2.0954 3.3429 5.6979
4.3274 1.8438 7.3818
3.4742 4.3436 3.4723
1.7269 1.0347 4.3162
1.6310 0.9662 7.1448
0.9695 3.4660 3.2353
4.6959 4.7246 5.9847
4.2315 1.9123 4.5532
0.5051 0.6538 1.8037
0.8736 3.5346 0.4066
3.1057 2.0354 2.0905
2.6005 2.5945 -0.0077
0.0000 0.0947 3.9019
```

Computed properties:
size of the total moment	4.99	μB/f.u.
symmetry	P2_1/c, No. 14

***

#two
Entry from Alexandria via LeMat-Bulk: a relaxed structure of MnZn2WO6 (PBEsol).

```
MnZn2WO6
1.0
-3.8965 1.5769 3.0495
0.0562 -1.1171 5.0713
0.9829 4.1086 3.5532
O W Mn Zn
6 1 1 2
Cartesian
-0.7578 3.4327 4.2523
-0.7513 0.5621 4.7116
-3.3113 2.0074 4.8027
0.3344 2.2373 6.9184
-2.1925 0.8415 7.2603
-2.3711 3.7897 6.8980
-3.8175 0.4996 8.1293
-1.4153 2.3076 5.8420
-2.0680 3.5574 8.7835
-0.4354 1.6297 3.0228
```

Computed properties:
size of the total moment	5.00	μB/f.u.
symmetry	R3, No. 146

***

Of them, the most stable is #two and the least stable is #one.

***

#one
Entry from Alexandria via LeMat-Bulk: a relaxed structure of MnZn4O5 (PBEsol).

```
MnZn4O5
1.0
-1.4916 -1.6130 -2.4063
3.1862 -0.4370 0.5240
-5.4308 -19.7135 16.5808
Zn O Mn
8 10 2
Cartesian
-2.7290 -9.9061 8.3319
-2.7062 -16.5578 12.7765
0.5402 -4.7737 2.8651
-3.7791 -20.4527 16.0525
-3.7977 -13.7854 11.5947
-4.8691 -17.6748 14.8660
-0.5689 -8.7997 6.2512
-1.6360 -12.6733 9.5093
-3.3744 -18.9837 14.8169
-0.1542 -7.2944 4.9852
-1.2247 -11.1802 8.2535
0.9474 -3.2955 1.6218
-2.2976 -15.0747 11.5291
-4.4622 -16.1975 13.6235
-3.3877 -12.2974 10.3432
-2.3158 -8.4064 7.0705
-0.1120 -0.4065 0.3419
-1.2194 -4.4265 3.7230
-1.6370 -5.9422 4.9979
-0.5261 -1.9098 1.6063
```

Computed properties:
size of the total moment	4.93	μB/f.u.
symmetry	P3m1, No. 156

***

#two
Entry from Alexandria via LeMat-Bulk: a relaxed structure of MnZn4O5 (PBEsol).

```
MnZn4O5
1.0
3.2536 0.0000 0.0000
-1.6268 5.9640 0.0183
0.0000 -0.6901 12.4347
O Zn Mn
10 8 2
Cartesian
1.6268 1.2782 1.7265
0.0000 1.9415 11.7378
0.0000 3.1949 3.8684
0.0000 5.1412 11.3155
1.6268 4.4933 1.3821
1.6268 3.2566 9.2766
0.0000 -0.0374 4.2835
1.6268 1.8324 6.3513
0.0000 0.5397 8.8475
0.0000 4.5845 6.7341
0.0000 2.8293 5.8123
0.0000 3.3855 10.3925
1.6268 2.7567 0.4123
1.6268 0.0897 5.3972
1.6268 1.5294 8.3136
0.0000 0.1927 10.8020
0.0000 5.4813 0.8254
1.6268 4.1930 3.3400
1.6268 4.7310 7.9049
0.0000 1.4255 2.8943
```

Computed properties:
size of the total moment	4.93	μB/f.u.
symmetry	Cm, No. 8

***

Of them, the most stable is #two and the least stable is #one.